A plane-wave DFT calculation with GGA-PBE was carried out for a geometry-optimized CePrC2 structure.

Calculated values
The space group is R-3m (166). For the total energy, the calculation gives -28.646 eV for the cell shown.

The structure in POSCAR format:
```
CePrC2
1.0
-1.404 3.095 -1.507
-3.102 -0.169 -2.043
-4.838 1.892 3.805
Pr C Ce
1 2 1
Direct
0.500 0.500 0.500 Pr
0.742 0.742 0.773 C
0.258 0.258 0.227 C
0.000 0.000 0.000 Ce
```